# KAg3

A relaxed KAg3 crystal (PBEsol, Alexandria via LeMat-Bulk).

Cell: 4.934 4.934 4.934 Å, 60.00 60.00 60.00°
Positions (direct):
K (0.000, 0.000, 0.000)
Ag (0.250, 0.250, 0.250)
Ag (0.500, 0.500, 0.500)
Ag (0.750, 0.750, 0.750)

* formation enthalpy at 0 K: 33.5 kJ/mol of atoms
* magnetic moment: 0.0 μB per cell
* crystal system: cubic